# CaTa (PBE-GGA, relaxed)
# Total DFT energy (no corrections) = -98.78 eV/cell
# Energy above the lowest structure with this stoichiometry = 0.3970 eV/atom
# Calculated density = 7.7 g/cm3
# Formation enthalpy at 0 K = 1.507 eV per formula unit
data_CaTa
_space_group_name_H-M_alt 'P 1'
_space_group_IT_number 1
_space_group_name_Hall 'P 1'
_cell_length_a 6.290
_cell_length_b 6.290
_cell_length_c 9.689
_cell_angle_alpha 90.00
_cell_angle_beta 90.00
_cell_angle_gamma 90.00
loop_
_atom_site_label
_atom_site_type_symbol
_atom_site_fract_x
_atom_site_fract_y
_atom_site_fract_z
Ca1 Ca 0.048 0.191 0.361
Ca2 Ca 0.548 0.309 0.389
Ca3 Ca 0.452 0.691 0.889
Ca4 Ca 0.952 0.809 0.861
Ca5 Ca 0.809 0.952 0.139
Ca6 Ca 0.309 0.548 0.611
Ca7 Ca 0.691 0.452 0.111
Ca8 Ca 0.191 0.048 0.639
Ta1 Ta 0.421 0.824 0.335
Ta2 Ta 0.921 0.676 0.415
Ta3 Ta 0.079 0.324 0.915
Ta4 Ta 0.579 0.176 0.835
Ta5 Ta 0.176 0.579 0.165
Ta6 Ta 0.676 0.921 0.585
Ta7 Ta 0.324 0.079 0.085
Ta8 Ta 0.824 0.421 0.665